#i
Computed, not measured: a relaxed Y2MgAg2 crystal at the PBE level of DFT.

abc: 5.7136 5.7136 5.7469
angles: 60.19 60.19 90.00
Closest atoms and distances in Å follow each position.
Element x y z (fractional)
Y  0.7500  0.2500  0.5000  4 Ag 2.96
Y  0.2500  0.7500  0.5000  4 Ag 2.96
Mg  0.0000  0.0000  0.0000  2 Ag 2.81
Ag  0.3432  0.3432  0.3136  1 Ag 2.56, 1 Mg 2.81
Ag  0.6568  0.6568  0.6864  1 Ag 2.56, 1 Mg 2.81

Theoretical density in g/cm³: 5.20

#ii
Computed, not measured: a relaxed Y2MgAg2 crystal at the PBE level of DFT.

abc: 3.8711 3.8711 9.0987
angles: 77.72 77.72 90.00
Closest atoms and distances in Å follow each position.
Element x y z (fractional)
Y  0.3924  0.3924  0.2152  4 Ag 3.14, 4 Mg 3.31
Y  0.6076  0.6076  0.7848  4 Ag 3.14, 4 Mg 3.31
Mg  0.0000  0.0000  0.0000  8 Y 3.31
Ag  0.7500  0.2500  0.5000  4 Ag 2.74
Ag  0.2500  0.7500  0.5000  4 Ag 2.74

Theoretical density in g/cm³: 5.34

#iii
Computed, not measured: a relaxed Y2MgAg2 crystal at the PBE level of DFT.

abc: 8.5412 8.5412 3.4880
angles: 90.00 90.00 90.00
Closest atoms and distances in Å follow each position.
Element x y z (fractional)
Y  0.3456  0.8456  0.0000  6 Ag 3.05, 2 Mg 3.23
Y  0.8456  0.6544  0.0000  6 Ag 3.05, 2 Mg 3.23
Y  0.6544  0.1544  0.0000  6 Ag 3.05, 2 Mg 3.23
Y  0.1544  0.3456  0.0000  6 Ag 3.05, 2 Mg 3.23
Mg  0.0000  0.0000  0.0000  4 Y 3.23, 2 Mg 3.49
Mg  0.5000  0.5000  0.0000  4 Y 3.23, 2 Mg 3.49
Ag  0.1381  0.6381  0.5000  6 Y 3.05, 1 Ag 3.34
Ag  0.6381  0.8619  0.5000  6 Y 3.05, 1 Ag 3.34
Ag  0.8619  0.3619  0.5000  6 Y 3.05, 1 Ag 3.34
Ag  0.3619  0.1381  0.5000  6 Y 3.05, 1 Ag 3.34

Theoretical density in g/cm³: 5.45

#iv
Computed, not measured: a relaxed Y2MgAg2 crystal at the PBE level of DFT.

abc: 7.9355 7.9355 3.9193
angles: 90.00 90.00 90.00
Closest atoms and distances in Å follow each position.
Element x y z (fractional)
Y  0.1688  0.6688  0.5000  6 Ag 2.99-3.09
Y  0.6688  0.8312  0.5000  6 Ag 2.99-3.09
Y  0.8312  0.3312  0.5000  6 Ag 2.99-3.09
Y  0.3312  0.1688  0.5000  6 Ag 2.99-3.09
Mg  0.0000  0.0000  0.0000  4 Ag 3.11
Mg  0.5000  0.5000  0.0000  4 Ag 3.11
Ag  0.3703  0.8703  0.0000  1 Ag 2.91, 6 Y 2.99-3.09, 2 Mg 3.11
Ag  0.8703  0.6297  0.0000  1 Ag 2.91, 6 Y 2.99-3.09, 2 Mg 3.11
Ag  0.6297  0.1297  0.0000  1 Ag 2.91, 6 Y 2.99-3.09, 2 Mg 3.11
Ag  0.1297  0.3703  0.0000  1 Ag 2.91, 6 Y 2.99-3.09, 2 Mg 3.11

Theoretical density in g/cm³: 5.62

The winner here is #iv, beating the second structure by 227 meV per atom.

#i
Computed, not measured: a relaxed Y4MgAg crystal at the PBE level of DFT.

abc: 6.3503 6.3503 6.3503
angles: 60.00 60.00 60.00
Closest atoms and distances in Å follow each position.
Element x y z (fractional)
Y  0.8760  0.3747  0.3747  6 Y 3.17-3.18
Y  0.3747  0.3747  0.8760  6 Y 3.17-3.18
Y  0.3747  0.8760  0.3747  6 Y 3.17-3.18
Y  0.3747  0.3747  0.3747  6 Y 3.17-3.18
Mg  0.0000  0.0000  0.0000  12 Y 3.72, 4 Ag 3.89
Ag  0.7500  0.7500  0.7500  12 Y 3.72, 4 Mg 3.89

Theoretical density in g/cm³: 4.47

#ii
Computed, not measured: a relaxed Y4MgAg crystal at the PBE level of DFT.

abc: 5.0756 5.0763 7.4527
angles: 89.99 90.00 90.00
Closest atoms and distances in Å follow each position.
Element x y z (fractional)
Y  0.5013  0.9973  0.2636  2 Ag 3.08, 2 Mg 3.22
Y  0.5013  0.9974  0.7327  2 Ag 3.08, 2 Mg 3.22
Y  0.0013  0.4974  0.7327  2 Ag 3.08, 2 Mg 3.22
Y  0.0012  0.4972  0.2637  2 Ag 3.08, 2 Mg 3.22
Mg  0.5014  0.4972  0.9980  8 Y 3.22
Ag  0.0013  0.9972  0.4982  8 Y 3.08

Theoretical density in g/cm³: 4.22

The winner here is #ii, beating the second structure by 187 meV per atom.

#i
Computed, not measured: a relaxed YMg4Ag crystal at the PBE level of DFT.

abc: 5.8588 5.8588 5.8588
angles: 60.00 60.00 60.00
Closest atoms and distances in Å follow each position.
Element x y z (fractional)
Y  0.7500  0.7500  0.7500  12 Mg 3.43, 4 Ag 3.59
Mg  0.8747  0.3751  0.3751  6 Mg 2.93
Mg  0.3751  0.3751  0.8747  6 Mg 2.93
Mg  0.3751  0.8747  0.3751  6 Mg 2.93
Mg  0.3751  0.3751  0.3751  6 Mg 2.93
Ag  0.0000  0.0000  0.0000  12 Mg 3.44, 4 Y 3.59

Theoretical density in g/cm³: 3.43

#ii
Computed, not measured: a relaxed YMg4Ag crystal at the PBE level of DFT.

abc: 4.0160 7.8233 8.9559
angles: 90.00 90.00 90.00
Closest atoms and distances in Å follow each position.
Element x y z (fractional)
Y  0.0000  0.6034  0.7500  1 Ag 3.11, 6 Mg 3.29-3.42
Y  0.0000  0.3966  0.2500  1 Ag 3.11, 6 Mg 3.29-3.42
Mg  0.0000  0.0000  0.5000  2 Ag 2.76, 4 Mg 3.05
Mg  0.0000  0.0000  0.0000  2 Ag 2.76, 4 Mg 3.05
Mg  0.5000  0.9361  0.7500  2 Ag 2.91, 4 Mg 3.05
Mg  0.5000  0.0639  0.2500  2 Ag 2.91, 4 Mg 3.05
Mg  0.5000  0.6859  0.0500  2 Ag 2.82, 1 Mg 3.04
Mg  0.5000  0.3141  0.9500  2 Ag 2.82, 1 Mg 3.04
Mg  0.5000  0.6859  0.4500  2 Ag 2.82, 1 Mg 3.04
Mg  0.5000  0.3141  0.5500  2 Ag 2.82, 1 Mg 3.04
Ag  0.0000  0.2056  0.7500  8 Mg 2.76-2.91
Ag  0.0000  0.7944  0.2500  8 Mg 2.76-2.91

Theoretical density in g/cm³: 3.47

The winner here is #ii, beating the second structure by 194 meV per atom.